## Tb4Sm5Ho (PBE-GGA)

Data for an optimized crystal structure of Tb4Sm5Ho.

Cell: 3.588 10.160 9.490 Å, 105.55 79.14 90.07°
Sites, in units of the cell vectors:
Tb: 0.300 0.100 0.399
Tb: 0.900 0.297 0.200
Tb: 0.700 0.900 0.601
Tb: 0.100 0.703 0.800
Sm: 0.300 0.600 0.400
Sm: 0.900 0.802 0.199
Sm: 0.100 0.198 0.801
Sm: 0.500 0.500 0.000
Sm: 0.700 0.400 0.600
Ho: 0.500 0.000 0.000

Output
E_form   15 meV/atom
Raw total energy   -4.654 eV per atom
DOS at the Fermi energy   1.30 states/eV/atom